Below is a relaxed Na4In3FeO8 crystal, with properties calculated at the PBE with a Hubbard U level.

Cell: 6.4660 6.4660 16.5347 Å, 90.00 90.00 120.00°
Closest atoms and distances in Å follow each position.
Space group R-3m (No. 166, hexagonal axes)
Unique sites:
1 Na 0.0000 0.0000 0.0000 [3 per cell]  6 O 2.53
2 Na 0.0000 0.5000 0.0000 [9 per cell]  6 O 2.43-2.44
3 In 0.0000 0.5000 0.5000 [9 per cell]  6 O 2.21-2.23
4 Fe 0.0000 0.0000 0.5000 [3 per cell]  6 O 2.12
5 O 0.0000 0.0000 0.2382 [6 per cell]  3 In 2.21, 3 Na 2.44
6 O 0.0151 0.5076 0.2362 [18 per cell]  1 Fe 2.12, 2 In 2.23

## Properties
E_tot, eV/cell: -253.678
Size of the total moment, μB per cell: 14.8